First-principles (GGA+U) data for an optimized crystal structure of K2CrP2O6, as listed in Alexandria.

Geometry as POSCAR:
```
K2CrP2O6
1.0
-3.098 -4.168 2.260
0.758 -5.343 -1.718
3.110 -3.901 4.168
K O P Cr
2 6 2 1
Direct
0.225 0.225 0.325
0.775 0.775 0.675
0.258 0.258 0.769
0.714 0.258 0.769
0.742 0.286 0.231
0.286 0.742 0.231
0.258 0.714 0.769
0.742 0.742 0.231
0.434 0.434 0.697
0.566 0.566 0.303
0.000 0.000 0.000
```

For the total DFT energy (no corrections), the calculation gives -6.60 eV/atom. As for the symmetry: R-3m (166). For the total moment, the calculation gives 4.00 Bohr magnetons per cell.